# 1
Entry from Alexandria via LeMat-Bulk: K2BaTc after structural relaxation (PBE).

## Properties
DOS at the Fermi energy, states/eV/cell: 5.4
Electronic total energy, eV/atom: -2.5692
E above lowest polymorph, meV per atom: 178
DFT formation energy, eV/atom: 1.0517
Spin magnetization, μB/cell: 2.79

abc: 6.1171 6.1171 6.1171
angles: 60.00 60.00 60.00
Last column: nearest neighbours and their distance in Å.
Element x y z (fractional)
K1 0.0000 0.0000 0.0000  4 Tc 3.75, 4 K 3.75
K2 0.2500 0.2500 0.2500  4 Ba 3.75, 4 K 3.75
Tc1 0.7500 0.7500 0.7500  4 K 3.75, 4 Ba 3.75
Ba1 0.5000 0.5000 0.5000  4 K 3.75, 4 Tc 3.75



# 2
Entry from Alexandria via LeMat-Bulk: HfTcSe2N after structural relaxation (PBE).

## Properties
DOS at the Fermi energy, states/eV/cell: 3.3
Electronic total energy, eV/atom: -6.7068
Formation energy (no corrections), eV per atom: 0.416
E above lowest polymorph, meV per atom: 292
Spin magnetization, μB/cell: 4.25

abc: 5.2676 5.2676 3.9879
angles: 90.00 90.00 90.00
Last column: nearest neighbours and their distance in Å.
Element x y z (fractional)
Hf1 0.0000 0.0000 0.0000  2 N 1.99
Tc1 0.5000 0.5000 0.5000  8 Se 3.30
Se1 0.5000 0.0000 0.0000  2 Hf 2.63
Se2 0.0000 0.5000 0.0000  2 Hf 2.63
N1 0.0000 0.0000 0.5000  2 Hf 1.99



# 3
Entry from Alexandria via LeMat-Bulk: Cs2RbLiP after structural relaxation (PBE).

## Properties
DOS at the Fermi energy, states/eV/cell: 3.2
Electronic total energy, eV/atom: -2.0717
DFT formation energy, eV/atom: -0.0721
Spin magnetization, μB/cell: 0.00

abc: 7.3397 7.3397 4.9238
angles: 90.00 90.00 90.00
Last column: nearest neighbours and their distance in Å.
Element x y z (fractional)
Li1 0.0000 0.0000 0.5000  2 P 2.46
Cs1 0.5000 0.0000 0.0000  2 P 3.67
Cs2 0.0000 0.5000 0.0000  2 P 3.67
Rb1 0.5000 0.5000 0.5000  8 Cs 4.42, 2 Rb 4.92
P1 0.0000 0.0000 0.0000  2 Li 2.46



# 4
Entry from Alexandria via LeMat-Bulk: KPtW2 after structural relaxation (PBE).

## Properties
DOS at the Fermi energy, states/eV/cell: 3.3
Electronic total energy, eV/atom: -7.1918
E above lowest polymorph, meV per atom: 556
DFT formation energy, eV/atom: 1.0693
Spin magnetization, μB/cell: 0.02

abc: 5.9642 5.9642 5.9642
angles: 151.59 125.22 62.85
Last column: nearest neighbours and their distance in Å.
Element x y z (fractional)
Pt1 0.2149 0.7149 0.5000  2 W 2.73, 2 Pt 2.93
K1 0.5014 0.5014 0.0000  2 K 2.93, 4 W 3.11, 2 Pt 3.26
W1 0.7949 0.2949 0.5000  2 W 2.46
W2 0.9888 0.9888 0.0000  2 W 2.46, 2 Pt 2.73



# 5
Entry from Alexandria via LeMat-Bulk: Ta3Nb2Mo6 after structural relaxation (PBE).

## Properties
DOS at the Fermi energy, states/eV/cell: 8.8
Electronic total energy, eV/atom: -10.5555
DFT formation energy, eV/atom: 0.4157
Spin magnetization, μB/cell: 0.00

abc: 3.0841 8.3213 8.3213
angles: 66.97 90.00 90.00
Last column: nearest neighbours and their distance in Å.
Element x y z (fractional)
Ta1 0.0000 0.8077 0.8077  4 Mo 2.82, 4 Ta 3.08
Ta2 0.5000 0.0000 0.0000  4 Nb 2.78, 6 Ta 3.08
Ta3 0.0000 0.1923 0.1923  4 Mo 2.82, 4 Ta 3.08
Nb1 0.0000 0.7476 0.2524  4 Mo 2.72, 2 Ta 2.78
Nb2 0.0000 0.2524 0.7476  4 Mo 2.72, 2 Ta 2.78
Mo1 0.5000 0.4000 0.4000  2 Mo 2.43
Mo2 0.5000 0.6000 0.6000  2 Mo 2.43
Mo3 0.5000 0.9089 0.4140  2 Mo 2.43-2.46
Mo4 0.5000 0.4140 0.9089  2 Mo 2.43-2.46
Mo5 0.5000 0.0911 0.5860  2 Mo 2.43-2.46
Mo6 0.5000 0.5860 0.0911  2 Mo 2.43-2.46



# 6
Entry from Alexandria via LeMat-Bulk: In2Hg after structural relaxation (PBE).

## Properties
DOS at the Fermi energy, states/eV/cell: 1.8
Electronic total energy, eV/atom: -1.9120
E above lowest polymorph, meV per atom: 12
DFT formation energy, eV/atom: 0.0143
Spin magnetization, μB/cell: 0.00

abc: 6.1491 6.1491 8.1214
angles: 73.34 73.34 32.82
Last column: nearest neighbours and their distance in Å.
Element x y z (fractional)
Hg1 0.3219 0.3219 0.3450  8 In 3.24-3.43, 4 Hg 3.38-3.47
Hg2 0.0006 0.0006 0.0113  7 In 3.22-3.29, 4 Hg 3.38-3.47
In1 0.2907 0.2907 0.9383  4 Hg 3.22-3.43, 8 In 3.33-3.47
In2 0.6596 0.6596 0.6802  8 In 3.25-3.58, 4 Hg 3.28-3.31
In3 0.9471 0.9471 0.5946  9 In 3.25-3.47, 3 Hg 3.33-3.62
In4 0.6134 0.6134 0.2640  5 Hg 3.24-3.30, 7 In 3.31-3.58